Entry 1:
# PBE LaNdCu2P4, relaxed
data_LaNdCu2P4
_chemical_formula_sum 'La1 Nd1 Cu2 P4'
_space_group_name_H-M_alt 'P 1'
_space_group_IT_number 1
_cell_length_a 3.820
_cell_length_b 3.820
_cell_length_c 10.149
_cell_angle_alpha 90.00
_cell_angle_beta 90.00
_cell_angle_gamma 90.00
loop_
_space_group_symop_operation_xyz
'x,y,z'
loop_
_atom_site_label
_atom_site_type_symbol
_atom_site_fract_x
_atom_site_fract_y
_atom_site_fract_z
La1 La 0.000 0.000 0.000
Nd1 Nd 0.500 0.500 0.469
Cu1 Cu 0.000 0.500 0.732
Cu2 Cu 0.500 0.000 0.732
P1 P 0.000 0.000 0.589
P2 P 0.000 0.500 0.238
P3 P 0.500 0.000 0.238
P4 P 0.500 0.500 0.873
# * SG: P4mm, No. 99

Entry 2:
# PBE CoSn3, relaxed
data_CoSn3
_chemical_formula_sum 'Co8 Sn24'
_space_group_name_H-M_alt 'P 1'
_space_group_IT_number 1
_cell_length_a 17.606
_cell_length_b 17.606
_cell_length_c 17.606
_cell_angle_alpha 159.40
_cell_angle_beta 159.40
_cell_angle_gamma 29.30
loop_
_space_group_symop_operation_xyz
'x,y,z'
loop_
_atom_site_label
_atom_site_type_symbol
_atom_site_fract_x
_atom_site_fract_y
_atom_site_fract_z
Co1 Co 0.085 0.835 0.250
Co2 Co 0.165 0.915 0.250
Co3 Co 0.335 0.585 0.750
Co4 Co 0.415 0.665 0.750
Co5 Co 0.585 0.335 0.250
Co6 Co 0.665 0.415 0.250
Co7 Co 0.835 0.085 0.750
Co8 Co 0.915 0.165 0.750
Sn1 Sn 0.024 0.640 0.749
Sn2 Sn 0.038 0.788 0.577
Sn3 Sn 0.109 0.860 0.884
Sn4 Sn 0.140 0.524 0.249
Sn5 Sn 0.212 0.288 0.250
Sn6 Sn 0.225 0.109 0.749
Sn7 Sn 0.275 0.024 0.884
Sn8 Sn 0.288 0.538 0.077
Sn9 Sn 0.360 0.609 0.384
Sn10 Sn 0.391 0.275 0.751
Sn11 Sn 0.462 0.038 0.750
Sn12 Sn 0.476 0.225 0.616
Sn13 Sn 0.524 0.775 0.384
Sn14 Sn 0.538 0.962 0.250
Sn15 Sn 0.609 0.725 0.249
Sn16 Sn 0.640 0.391 0.616
Sn17 Sn 0.712 0.462 0.923
Sn18 Sn 0.725 0.976 0.116
Sn19 Sn 0.775 0.891 0.251
Sn20 Sn 0.788 0.712 0.750
Sn21 Sn 0.860 0.476 0.751
Sn22 Sn 0.891 0.140 0.116
Sn23 Sn 0.962 0.212 0.423
Sn24 Sn 0.976 0.360 0.251
# * SG: I4_1/acd, No. 142

Entry 3:
# PBE YNbSn, relaxed
data_YNbSn
_chemical_formula_sum 'Y4 Nb4 Sn4'
_space_group_name_H-M_alt 'P 1'
_space_group_IT_number 1
_cell_length_a 7.065
_cell_length_b 7.065
_cell_length_c 7.065
_cell_angle_alpha 90.00
_cell_angle_beta 90.00
_cell_angle_gamma 90.00
loop_
_space_group_symop_operation_xyz
'x,y,z'
loop_
_atom_site_label
_atom_site_type_symbol
_atom_site_fract_x
_atom_site_fract_y
_atom_site_fract_z
Y1 Y 0.000 0.000 0.000
Y2 Y 0.000 0.500 0.500
Y3 Y 0.500 0.000 0.500
Y4 Y 0.500 0.500 0.000
Nb1 Nb 0.250 0.250 0.750
Nb2 Nb 0.250 0.750 0.250
Nb3 Nb 0.750 0.250 0.250
Nb4 Nb 0.750 0.750 0.750
Sn1 Sn 0.250 0.250 0.250
Sn2 Sn 0.250 0.750 0.750
Sn3 Sn 0.750 0.250 0.750
Sn4 Sn 0.750 0.750 0.250
# * SG: F-43m, No. 216

Entry 4:
# PBE TbHoBe2Ge2, relaxed
data_TbHoBe2Ge2
_chemical_formula_sum 'Tb1 Ho1 Be2 Ge2'
_space_group_name_H-M_alt 'P 1'
_space_group_IT_number 1
_cell_length_a 3.917
_cell_length_b 3.917
_cell_length_c 8.093
_cell_angle_alpha 90.00
_cell_angle_beta 90.00
_cell_angle_gamma 120.00
loop_
_space_group_symop_operation_xyz
'x,y,z'
loop_
_atom_site_label
_atom_site_type_symbol
_atom_site_fract_x
_atom_site_fract_y
_atom_site_fract_z
Tb1 Tb 0.000 0.000 0.000
Ho1 Ho 0.000 0.000 0.500
Be1 Be 0.333 0.667 0.749
Be2 Be 0.667 0.333 0.251
Ge1 Ge 0.333 0.667 0.252
Ge2 Ge 0.667 0.333 0.748
# * SG: P-3m1, No. 164

Entry 5:
# PBE KNiPS4, relaxed
data_KNiPS4
_chemical_formula_sum 'K4 Ni4 P4 S16'
_space_group_name_H-M_alt 'P 1'
_space_group_IT_number 1
_cell_length_a 8.338
_cell_length_b 8.338
_cell_length_c 10.783
_cell_angle_alpha 90.00
_cell_angle_beta 90.00
_cell_angle_gamma 90.00
loop_
_space_group_symop_operation_xyz
'x,y,z'
loop_
_atom_site_label
_atom_site_type_symbol
_atom_site_fract_x
_atom_site_fract_y
_atom_site_fract_z
K1 K 0.000 0.500 0.250
K2 K 0.000 0.500 0.750
K3 K 0.500 0.000 0.250
K4 K 0.500 0.000 0.750
Ni1 Ni 0.000 0.000 0.000
Ni2 Ni 0.000 0.000 0.500
Ni3 Ni 0.500 0.500 0.000
Ni4 Ni 0.500 0.500 0.500
P1 P 0.250 0.250 0.000
P2 P 0.250 0.750 0.500
P3 P 0.750 0.250 0.500
P4 P 0.750 0.750 0.000
S1 S 0.004 0.264 0.000
S2 S 0.135 0.865 0.357
S3 S 0.135 0.865 0.643
S4 S 0.236 0.504 0.500
S5 S 0.264 0.004 0.000
S6 S 0.365 0.365 0.143
S7 S 0.365 0.365 0.857
S8 S 0.496 0.764 0.500
S9 S 0.504 0.236 0.500
S10 S 0.635 0.635 0.143
S11 S 0.635 0.635 0.857
S12 S 0.736 0.996 0.000
S13 S 0.764 0.496 0.500
S14 S 0.865 0.135 0.357
S15 S 0.865 0.135 0.643
S16 S 0.996 0.736 0.000
# * SG: P4_2/mnm, No. 136

Entry 6:
# PBE CoHgTe, relaxed
data_CoHgTe
_chemical_formula_sum 'Co4 Hg4 Te4'
_space_group_name_H-M_alt 'P 1'
_space_group_IT_number 1
_cell_length_a 6.290
_cell_length_b 6.290
_cell_length_c 6.290
_cell_angle_alpha 90.00
_cell_angle_beta 90.00
_cell_angle_gamma 90.00
loop_
_space_group_symop_operation_xyz
'x,y,z'
loop_
_atom_site_label
_atom_site_type_symbol
_atom_site_fract_x
_atom_site_fract_y
_atom_site_fract_z
Co1 Co 0.000 0.000 0.000
Co2 Co 0.000 0.500 0.500
Co3 Co 0.500 0.000 0.500
Co4 Co 0.500 0.500 0.000
Hg1 Hg 0.250 0.250 0.750
Hg2 Hg 0.250 0.750 0.250
Hg3 Hg 0.750 0.250 0.250
Hg4 Hg 0.750 0.750 0.750
Te1 Te 0.250 0.250 0.250
Te2 Te 0.250 0.750 0.750
Te3 Te 0.750 0.250 0.750
Te4 Te 0.750 0.750 0.250
# * relative energy among the computed polymorphs: 0 meV per atom
# * SG: F-43m, No. 216

Entry 7:
# PBE PrAgPbS3, relaxed
data_PrAgPbS3
_chemical_formula_sum 'Pr4 Ag4 Pb4 S12'
_space_group_name_H-M_alt 'P 1'
_space_group_IT_number 1
_cell_length_a 13.378
_cell_length_b 4.108
_cell_length_c 10.977
_cell_angle_alpha 90.00
_cell_angle_beta 90.00
_cell_angle_gamma 90.00
loop_
_space_group_symop_operation_xyz
'x,y,z'
loop_
_atom_site_label
_atom_site_type_symbol
_atom_site_fract_x
_atom_site_fract_y
_atom_site_fract_z
Pr1 Pr 0.015 0.250 0.173
Pr2 Pr 0.485 0.750 0.673
Pr3 Pr 0.515 0.250 0.327
Pr4 Pr 0.985 0.750 0.827
Ag1 Ag 0.005 0.750 0.410
Ag2 Ag 0.495 0.250 0.910
Ag3 Ag 0.505 0.750 0.090
Ag4 Ag 0.995 0.250 0.590
Pb1 Pb 0.227 0.250 0.461
Pb2 Pb 0.273 0.750 0.961
Pb3 Pb 0.727 0.250 0.039
Pb4 Pb 0.773 0.750 0.539
S1 S 0.109 0.250 0.937
S2 S 0.117 0.750 0.619
S3 S 0.147 0.750 0.256
S4 S 0.353 0.250 0.756
S5 S 0.383 0.250 0.119
S6 S 0.391 0.750 0.437
S7 S 0.609 0.250 0.563
S8 S 0.617 0.750 0.881
S9 S 0.647 0.750 0.244
S10 S 0.853 0.250 0.744
S11 S 0.883 0.250 0.381
S12 S 0.891 0.750 0.063
# * relative energy among the computed polymorphs: 32 meV per atom
# * SG: Pnma, No. 62

Entry 8:
# PBE Cs2Rb2Ge2Au7, relaxed
data_Cs2Rb2Ge2Au7
_chemical_formula_sum 'Cs2 Rb2 Ge2 Au7'
_space_group_name_H-M_alt 'P 1'
_space_group_IT_number 1
_cell_length_a 10.370
_cell_length_b 10.370
_cell_length_c 10.370
_cell_angle_alpha 38.00
_cell_angle_beta 38.00
_cell_angle_gamma 38.00
loop_
_space_group_symop_operation_xyz
'x,y,z'
loop_
_atom_site_label
_atom_site_type_symbol
_atom_site_fract_x
_atom_site_fract_y
_atom_site_fract_z
Cs1 Cs 0.184 0.184 0.184
Cs2 Cs 0.816 0.816 0.816
Rb1 Rb 0.311 0.311 0.311
Rb2 Rb 0.689 0.689 0.689
Ge1 Ge 0.046 0.046 0.046
Ge2 Ge 0.954 0.954 0.954
Au1 Au 0.277 0.277 0.700
Au2 Au 0.277 0.700 0.277
Au3 Au 0.300 0.723 0.723
Au4 Au 0.500 0.500 0.500
Au5 Au 0.700 0.277 0.277
Au6 Au 0.723 0.300 0.723
Au7 Au 0.723 0.723 0.300
# * relative energy among the computed polymorphs: 5 meV per atom
# * SG: R-3m, No. 166

| no. | total DFT energy (no corrections) (eV per atom) |
| --- | --- |
| 1 | -5.7032 |
| 2 | -4.8347 |
| 3 | -6.1188 |
| 4 | -4.9897 |
| 5 | -4.7041 |
| 6 | -3.2823 |
| 7 | -4.9413 |
| 8 | -3.0925 |